A PBEsol-optimized structure of RbTlSb2S. Source: the Alexandria database, functional SCAN.

For the formation energy without anion corrections, the calculation gives 1.441 eV per atom. The density comes out at 4.294 g/cm3. The space group is No. 123. The density of states at the Fermi level is 3.96 states/eV/f.u. Its crystal system is tetragonal.

abc: 5.9279 5.9279 6.2226
angles: 90.00 90.00 90.00
Each line ends with the local moment (μB).
Atoms (fractional coordinates):
Rb  0.0000  0.0000  0.0000  0.06
Sb  0.5000  0.0000  0.0000  0.35
Sb  0.0000  0.5000  0.0000  0.35
Tl  0.0000  0.0000  0.5000  -0.02
S  0.5000  0.5000  0.5000  0.85